VASP calculation (PBE) on a relaxed TaAsWSe2 crystal.

Cell lengths 4.9331, 4.9331, 5.0937 Å; angles 90.00, 90.00, 90.00 degrees
Fractional coordinates of all 5 atoms:
Ta1 0.0000 0.0000 0.0000
As1 0.0000 0.0000 0.5000
W1 0.5000 0.5000 0.5000
Se1 0.0000 0.5000 0.0000
Se2 0.5000 0.0000 0.0000

Results
- Calculated density: 8.01 g/cm³
- E above lowest polymorph: 0.0 meV per atom
- Symmetry: No. 123
- Fermi-level density of states: 3.35 states/eV per cell



VASP calculation (PBE) on a relaxed Mg2Hg2Pd3 crystal.

Cell lengths 4.5068, 4.5182, 7.8186 Å; angles 73.34, 73.51, 60.41 degrees
Fractional coordinates of all 7 atoms:
Mg1 0.1194 0.1182 0.1427
Mg2 0.8806 0.8818 0.8573
Hg1 0.3709 0.3659 0.3888
Hg2 0.6291 0.6341 0.6112
Pd1 0.2402 0.2436 0.7780
Pd2 0.5000 0.5000 0.0000
Pd3 0.7598 0.7564 0.2220

Results
- Calculated density: 9.77 g/cm³
- Symmetry: No. 2
- E: -3.213 eV per atom
- Fermi-level density of states: 2.09 states/eV per cell



VASP calculation (PBE) on a relaxed Li2EuY crystal.

Cell lengths 3.8403, 3.8403, 7.8460 Å; angles 90.00, 90.00, 90.00 degrees
Fractional coordinates of all 4 atoms:
Li1 0.0000 0.0000 0.2294
Li2 0.0000 0.0000 0.7706
Eu1 0.5000 0.5000 0.5000
Y1 0.5000 0.5000 0.0000

Results
- Calculated density: 3.66 g/cm³
- E above lowest polymorph: 0.0 meV per atom
- Symmetry: No. 123
- Fermi-level density of states: 8.92 states/eV per cell



VASP calculation (PBE) on a relaxed PrTm9In2 crystal.

Cell lengths 4.8253, 4.8253, 14.8119 Å; angles 90.00, 90.00, 90.00 degrees
Fractional coordinates of all 12 atoms:
Pr1 0.0000 0.0000 0.0000
Tm1 0.0000 0.5000 0.1755
Tm2 0.0000 0.5000 0.5000
Tm3 0.0000 0.5000 0.8245
Tm4 0.5000 0.0000 0.1755
Tm5 0.5000 0.0000 0.5000
Tm6 0.5000 0.0000 0.8245
Tm7 0.5000 0.5000 0.0000
Tm8 0.5000 0.5000 0.3396
Tm9 0.5000 0.5000 0.6604
In1 0.0000 0.0000 0.3395
In2 0.0000 0.0000 0.6605

Results
- Calculated density: 9.10 g/cm³
- Symmetry: No. 123
- E: -4.360 eV per atom
- Fermi-level density of states: 12.09 states/eV per cell



VASP calculation (PBE) on a relaxed NaTb2Ge4Pt3 crystal.

Cell lengths 4.2138, 4.2138, 10.9600 Å; angles 90.00, 90.00, 90.00 degrees
Fractional coordinates of all 10 atoms:
Na1 0.0000 0.0000 0.0000
Tb1 0.0000 0.5000 0.7478
Tb2 0.5000 0.0000 0.2522
Ge1 0.0000 0.0000 0.5000
Ge2 0.0000 0.5000 0.1468
Ge3 0.5000 0.0000 0.8532
Ge4 0.5000 0.5000 0.5000
Pt1 0.0000 0.5000 0.3702
Pt2 0.5000 0.0000 0.6298
Pt3 0.5000 0.5000 0.0000

Results
- Calculated density: 10.38 g/cm³
- Symmetry: No. 115
- E: -5.415 eV per atom
- Fermi-level density of states: 5.54 states/eV per cell



VASP calculation (PBE) on a relaxed NbSiRu2 crystal.

Cell lengths 4.1784, 4.1784, 3.3271 Å; angles 90.00, 90.00, 90.00 degrees
Fractional coordinates of all 4 atoms:
Nb1 0.0000 0.0000 0.0000
Si1 0.5000 0.5000 0.0000
Ru1 0.0000 0.5000 0.5000
Ru2 0.5000 0.0000 0.5000

Results
- Calculated density: 9.24 g/cm³
- Symmetry: No. 123
- E: -8.911 eV per atom
- Fermi-level density of states: 2.21 states/eV per cell



VASP calculation (PBE) on a relaxed NaScPaS4 crystal.

Cell lengths 7.9248, 7.9248, 7.9248 Å; angles 121.44, 117.03, 91.37 degrees
Fractional coordinates of all 14 atoms:
Na1 0.3912 0.1412 0.2500
Na2 0.6088 0.8588 0.7500
Sc1 0.0000 0.0000 0.5000
Sc2 0.0000 0.5000 0.0000
Pa1 0.0000 0.5000 0.5000
Pa2 0.5000 0.5000 0.0000
S1 0.2042 0.7419 0.4623
S2 0.2204 0.2581 0.9623
S3 0.2368 0.2590 0.5222
S4 0.2368 0.7147 0.9778
S5 0.7632 0.2853 0.0222
S6 0.7632 0.7410 0.4778
S7 0.7796 0.7419 0.0377
S8 0.7958 0.2581 0.5377

Results
- Calculated density: 3.99 g/cm³
- Symmetry: No. 74
- E: -6.455 eV per atom
- Fermi-level density of states: 11.17 states/eV per cell



VASP calculation (PBE) on a relaxed YIrSe2 crystal.

Cell lengths 4.1874, 4.1874, 16.2324 Å; angles 90.00, 90.00, 120.00 degrees
Fractional coordinates of all 12 atoms:
Y1 0.0000 0.0000 0.0000
Y2 0.3333 0.6667 0.6667
Y3 0.6667 0.3333 0.3333
Ir1 0.0000 0.0000 0.5000
Ir2 0.3333 0.6667 0.1667
Ir3 0.6667 0.3333 0.8333
Se1 0.0000 0.0000 0.2347
Se2 0.0000 0.0000 0.7653
Se3 0.3333 0.6667 0.4319
Se4 0.3333 0.6667 0.9014
Se5 0.6667 0.3333 0.0986
Se6 0.6667 0.3333 0.5681

Results
- Calculated density: 8.87 g/cm³
- E above lowest polymorph: 273.1 meV per atom
- Symmetry: No. 166
- Fermi-level density of states: 12.73 states/eV per cell